# 1
First-principles (PBE) data for a geometry-optimized Ba3PuP3 structure, as listed in Alexandria.

Results
ΔH_f (0 K)	-6.36	eV per formula unit
space group	C2/m

abc: 8.142 8.142 8.127
angles: 93.52 93.52 113.61
Element x y z (fractional)
Ba: 0.173 0.827 0.000
Ba: 0.232 0.768 0.500
Ba: 0.378 0.378 0.147
Ba: 0.622 0.622 0.853
Ba: 0.768 0.232 0.500
Ba: 0.827 0.173 0.000
Pu: 0.209 0.209 0.621
Pu: 0.791 0.791 0.379
P: 0.075 0.075 0.298
P: 0.166 0.481 0.786
P: 0.481 0.166 0.786
P: 0.519 0.834 0.214
P: 0.834 0.519 0.214
P: 0.925 0.925 0.702

# 2
First-principles (PBE) data for a geometry-optimized HoNi10B3 structure, as listed in Alexandria.

Results
ΔH_f (0 K)	-4.38	eV per formula unit
space group	Fm-3m

abc: 7.529 7.529 7.529
angles: 60.00 60.00 60.00
Element x y z (fractional)
Ho: 0.250 0.250 0.250
Ho: 0.750 0.750 0.750
Ni: 0.000 0.000 0.334
Ni: 0.000 0.000 0.666
Ni: 0.000 0.334 0.000
Ni: 0.000 0.334 0.666
Ni: 0.000 0.666 0.000
Ni: 0.000 0.666 0.334
Ni: 0.163 0.612 0.612
Ni: 0.334 0.000 0.000
Ni: 0.334 0.000 0.666
Ni: 0.334 0.666 0.000
Ni: 0.388 0.388 0.388
Ni: 0.388 0.388 0.837
Ni: 0.388 0.837 0.388
Ni: 0.612 0.163 0.612
Ni: 0.612 0.612 0.163
Ni: 0.612 0.612 0.612
Ni: 0.666 0.000 0.000
Ni: 0.666 0.000 0.334
Ni: 0.666 0.334 0.000
Ni: 0.837 0.388 0.388
B: 0.270 0.270 0.730
B: 0.270 0.730 0.270
B: 0.270 0.730 0.730
B: 0.730 0.270 0.270
B: 0.730 0.270 0.730
B: 0.730 0.730 0.270